(1)
Material: Tb2IrRu3
Method: DFT, GGA-PBE
State: optimized geometry

Geometry as extended XYZ:
```
6
Lattice="-1.4369 -4.9882 0.9912 4.5172 0.9898 -2.5581 1.6422 3.1518 4.0986" Properties=species:S:1:pos:R:3 pbc="T T T"
Tb 0.8321 -2.9759 0.3169
Tb 3.8905 2.1293 2.2148
Ir 0.0000 0.0000 0.0000
Ru 2.3613 -0.4233 1.2659
Ru 0.8211 1.5759 2.0493
Ru 0.1027 -0.9182 2.5449
```

Calculated values
density of states at the Fermi level	5.992	states/eV per cell
energy of formation from the pure elements	-0.4293	eV/atom
mass density	12.459	g/cm³
space-group type	No. 12



(2)
Material: Li3NbSb
Method: DFT, GGA-PBE
State: optimized geometry

Geometry as extended XYZ:
```
5
Lattice="4.9928 0.0000 0.0000 0.0000 4.9928 0.0000 0.0000 0.0000 4.9928" Properties=species:S:1:pos:R:3 pbc="T T T"
Sb 0.0000 0.0000 0.0000
Nb 2.4964 2.4964 2.4964
Li 0.0000 2.4964 0.0000
Li 0.0000 0.0000 2.4964
Li 2.4964 0.0000 0.0000
```

Calculated values
density of states at the Fermi level	7.699	states/eV per cell
ΔE to the lowest computed polymorph	0.000	eV/atom
mass density	3.142	g/cm³
space-group type	No. 221
formation energy from raw total energies	0.6847	eV/atom



(3)
Material: LiPuBr4
Method: DFT, GGA-PBE
State: optimized geometry

Geometry as extended XYZ:
```
12
Lattice="7.1707 -0.6016 0.0000 -1.8845 6.9004 0.0000 -2.6431 -3.1494 8.5826" Properties=species:S:1:pos:R:3 pbc="T T T"
Li 0.8504 3.2998 1.5365
Li 1.7927 -0.1504 7.0461
Pu 5.3780 -0.4512 1.2936
Pu -2.7349 3.6006 7.2890
Br 0.4955 -1.6613 5.5011
Br -1.4989 5.1696 0.7868
Br -0.4467 1.7889 3.0815
Br -0.5567 1.7194 7.7958
Br 2.1475 4.8107 3.0815
Br 3.0898 1.3605 5.5011
Br 4.1420 -2.0202 7.7958
Br 3.1998 1.4300 0.7868
```

Calculated values
density of states at the Fermi level	23.256	states/eV per cell
ΔE to the lowest computed polymorph	0.030	eV/atom
mass density	4.567	g/cm³
space-group type	No. 15
formation energy from raw total energies	-1.4760	eV/atom



(4)
Material: LiTm3Th4Se8
Method: DFT, GGA-PBE
State: optimized geometry

Geometry as extended XYZ:
```
16
Lattice="-4.5752 5.6363 3.1128 -4.3432 0.5196 -7.3246 0.4685 -7.0758 3.4791" Properties=species:S:1:pos:R:3 pbc="T T T"
Li -2.1716 0.2598 -3.6623
Tm -4.4592 3.0780 -2.1059
Tm -4.2250 -0.4599 -0.3664
Tm -1.9374 -3.2781 -1.9228
Th -2.2876 2.8181 1.5564
Th -2.0533 -0.7198 3.2959
Th 0.0000 0.0000 0.0000
Th 0.2343 -3.5379 1.7395
Se -3.7646 -5.2610 -1.1279
Se -4.0039 -1.6454 -2.9056
Se -2.1132 -2.0481 0.6024
Se -6.1024 -2.3810 0.4626
Se -2.3476 1.4612 -1.1954
Se -6.3367 1.1282 -1.3352
Se -4.4460 0.7256 2.1729
Se -4.6854 4.3411 0.3952
```

Calculated values
density of states at the Fermi level	9.574	states/eV per cell
mass density	8.838	g/cm³
space-group type	No. 166
formation energy from raw total energies	-1.5973	eV/atom



Sequential total magnetic moment output: 0.00 4.57 10.00 0.00 μB/cell